## TbDyPuTh (PBE-GGA)

Data for TbDyPuTh after structural relaxation.

abc: 5.577 5.577 5.577
angles: 60.00 60.00 60.00
Each line ends with the local moment (μB).
Element x y z (fractional)
Dy 0.750 0.750 0.750  0.39
Th 0.500 0.500 0.500  0.56
Pu 0.250 0.250 0.250  5.69
Tb 0.000 0.000 0.000  0.40

E_form   0.2093 eV per atom
Spin magnetization   8.152 μB/f.u.
Crystal system   cubic
Space-group type   F-43m, No. 216

=====

## Ho2Er3Th2 (PBE-GGA)

Data for Ho2Er3Th2 after structural relaxation.

abc: 3.428 8.522 8.885
angles: 119.04 101.12 90.00
Element x y z (fractional)
Ho 0.563 0.906 0.127
Ho 0.437 0.094 0.873
Th 0.151 0.345 0.302
Th 0.849 0.655 0.698
Er 0.000 0.500 0.000
Er 0.785 0.200 0.569
Er 0.215 0.800 0.431

E_form   0.1383 eV per atom
Spin magnetization   0.000 μB/f.u.
Crystal system   monoclinic
Space-group type   C2/m, No. 12

=====

## LaTbTm (PBE-GGA)

Data for LaTbTm after structural relaxation.

abc: 3.560 5.484 10.324
angles: 90.00 99.93 90.00
Element x y z (fractional)
Tb 0.040 0.347 0.079
Tb 0.960 0.847 0.921
Tm 0.613 0.847 0.225
Tm 0.387 0.347 0.775
La 0.205 0.347 0.410
La 0.795 0.847 0.590

E_form   0.0361 eV per atom
Spin magnetization   0.000 μB/f.u.
Crystal system   orthorhombic
Space-group type   Cmcm, No. 63

=====

## Ni2MoPd5 (PBE-GGA)

Data for Ni2MoPd5 after structural relaxation.

abc: 3.837 5.474 10.928
angles: 90.00 90.00 90.00
Element x y z (fractional)
Mo 0.000 0.000 0.500
Mo 0.000 0.500 0.000
Ni 0.500 0.757 0.619
Ni 0.500 0.257 0.881
Ni 0.500 0.743 0.119
Ni 0.500 0.243 0.381
Pd 0.000 0.000 0.000
Pd 0.000 0.008 0.256
Pd 0.500 0.746 0.878
Pd 0.500 0.254 0.122
Pd 0.000 0.500 0.500
Pd 0.000 0.992 0.744
Pd 0.500 0.754 0.378
Pd 0.500 0.246 0.622
Pd 0.000 0.508 0.244
Pd 0.000 0.492 0.756

E_form   -0.0316 eV per atom
Spin magnetization   0.000 μB/f.u.
Crystal system   orthorhombic
Space-group type   Pbam, No. 55

=====

## TbDy2Er6 (PBE-GGA)

Data for TbDy2Er6 after structural relaxation.

abc: 6.886 6.886 8.487
angles: 66.07 66.07 60.00
Element x y z (fractional)
Er 0.054 0.054 0.329
Er 0.054 0.563 0.329
Er 0.772 0.280 0.669
Er 0.280 0.772 0.669
Er 0.563 0.054 0.329
Er 0.280 0.280 0.669
Dy 0.582 0.582 0.253
Dy 0.747 0.747 0.760
Tb 0.334 0.334 0.997

E_form   0.3964 eV per atom
Spin magnetization   0.000 μB/f.u.
Crystal system   trigonal
Space-group type   R3m, No. 160

=====

## NaNb2TePd (PBE-GGA)

Data for NaNb2TePd after structural relaxation.

abc: 4.881 4.462 4.881
angles: 90.00 90.00 90.00
Each line ends with the local moment (μB).
Element x y z (fractional)
Pd 0.000 0.500 0.000  0.00
Nb 0.500 0.000 0.000  0.19
Nb 0.000 0.000 0.500  0.15
Te 0.500 0.500 0.500  -0.01
Na 0.000 0.000 0.000  0.00

Spin magnetization   0.392 μB/f.u.
Formation energy without anion corrections   1.57 eV per atom
Crystal system   tetragonal
Space-group type   P4/mmm, No. 123

=====

## AlSiSe (PBE-GGA)

Data for AlSiSe after structural relaxation.

abc: 3.650 3.650 4.990
angles: 90.00 90.00 120.00
Element x y z (fractional)
Al 0.000 0.000 0.997
Si 0.333 0.667 0.683
Se 0.667 0.333 0.320

Spin magnetization   0.000 μB/f.u.
Formation energy without anion corrections   0.08 eV per atom
Crystal system   trigonal
Space-group type   P3m1, No. 156

=====

## P2Os (PBE-GGA)

Data for P2Os after structural relaxation.

abc: 4.733 2.947 6.966
angles: 90.00 90.00 90.00
Element x y z (fractional)
Os 0.500 0.000 0.290
Os 0.500 0.500 0.790
P 0.764 0.500 0.090
P 0.236 0.500 0.090
P 0.764 0.000 0.590
P 0.236 0.000 0.590

E_form   -0.1198 eV per atom
Spin magnetization   0.000 μB/f.u.
Crystal system   orthorhombic
Space-group type   Amm2, No. 38

=====

Number 5 is which compound?
TbDy2Er6

=====

Look up the spin magnetization of the third one.
0.000 μB/f.u.

=====

Look up the spin magnetization of the first one.
8.152 μB/f.u.